Entry 1:
## LaNdTlRh (PBE)

Data for an optimized crystal structure of LaNdTlRh.

Summary:
- Total moment: 0.0 μB per cell
- Formation energy: -151 kJ/mol of formula units

Lattice parameters (Å, degrees): 5.327 5.327 5.327 60.00 60.00 60.00
Fractional coordinates of all 4 atoms:
Tl: 0.000 0.000 0.000
Nd: 0.250 0.250 0.250
La: 0.750 0.750 0.750
Rh: 0.500 0.500 0.500



Entry 2:
## LaNdZnRh (PBE)

Data for an optimized crystal structure of LaNdZnRh.

Summary:
- Total moment: 0.0 μB per cell
- Formation energy: -203 kJ/mol of formula units

Lattice parameters (Å, degrees): 4.059 4.401 5.979 90.00 109.84 90.00
Fractional coordinates of all 4 atoms:
Zn: 0.571 0.500 0.142
Nd: 0.138 0.000 0.276
La: 0.863 0.500 0.727
Rh: 0.428 0.000 0.855



Q: formation energy of number 2 (LaNdZnRh)?
A: -203 kJ/mol of formula units